Entry 1:
An optimized crystal structure of SrSiPt2. Source: the Alexandria database, functional GGA-PBE.

The value obtained for the energy relative to the elements, uncorrected is -767.3 meV per atom. The crystal system is trigonal. Its energy is -22.256 eV/f.u. Its calculated density is 9.5 Mg/m³.

```
data_SrSiPt2
_chemical_formula_sum 'Sr3 Si3 Pt6'
_cell_length_a 4.2081
_cell_length_b 4.2081
_cell_length_c 17.2762
_cell_angle_alpha 90.00
_cell_angle_beta 90.00
_cell_angle_gamma 120.00
_symmetry_space_group_name_H-M 'R 3 m'
_symmetry_Int_Tables_number 160
_symmetry_space_group_name_Hall 'R 3 -2"'
loop_
_atom_site_label
_atom_site_fract_x
_atom_site_fract_y
_atom_site_fract_z
_atom_site_occupancy
Sr1 0.0000 0.0000 0.0000 1
Si1 0.0000 0.0000 0.8145 1
Pt1 0.0000 0.0000 0.1960 1
Pt2 0.0000 0.0000 0.4574 1
```


Entry 2:
An optimized crystal structure of Ga2PbS4. Source: the Alexandria database, functional GGA-PBE.

The value obtained for the energy relative to the elements, uncorrected is -561.3 meV per atom. The value obtained for the energy above the most stable polymorph in this dataset is 0.109 eV/atom. The crystal system is tetragonal. Its energy is -30.201 eV/f.u. Its calculated density is 4.2 Mg/m³.

```
data_Ga2PbS4
_chemical_formula_sum 'Ga2 Pb1 S4'
_cell_length_a 5.277
_cell_length_b 5.277
_cell_length_c 6.804
_cell_angle_alpha 90.00
_cell_angle_beta 90.00
_cell_angle_gamma 90.00
_symmetry_space_group_name_H-M 'P -4 2 m'
_symmetry_Int_Tables_number 111
loop_
_symmetry_equiv_pos_as_xyz
'x,y,z'
'y,-x,-z'
'-x,-y,z'
'-y,x,-z'
'x,-y,-z'
'y,x,z'
'-x,y,-z'
'-y,-x,z'
loop_
_atom_site_label
_atom_site_fract_x
_atom_site_fract_y
_atom_site_fract_z
_atom_site_occupancy
Ga1 0.000 0.500 0.000 1
Pb1 0.000 0.000 0.500 1
S1 0.269 0.269 0.798 1
```


Entry 3:
An optimized crystal structure of NiPbN3. Source: the Alexandria database, functional GGA-PBE.

The value obtained for the energy relative to the elements, uncorrected is 1435.2 meV per atom. The crystal system is cubic. Its energy is -27.290 eV/f.u. Its calculated density is 8.7 Mg/m³.

```
data_NiPbN3
_chemical_formula_sum 'Ni1 Pb1 N3'
_cell_length_a 3.882
_cell_length_b 3.882
_cell_length_c 3.882
_cell_angle_alpha 90.00
_cell_angle_beta 90.00
_cell_angle_gamma 90.00
_symmetry_space_group_name_H-M 'P m -3 m'
_symmetry_Int_Tables_number 221
_symmetry_space_group_name_Hall '-P 4 2 3'
loop_
_atom_site_label
_atom_site_fract_x
_atom_site_fract_y
_atom_site_fract_z
_atom_site_occupancy
Ni1 0.000 0.000 0.000 1
Pb1 0.500 0.500 0.500 1
N1 0.000 0.000 0.500 1
```


Entry 4:
An optimized crystal structure of CuPd5Au4. Source: the Alexandria database, functional GGA-PBE.

The value obtained for the energy above the most stable polymorph in this dataset is 0.166 eV/atom. The crystal system is orthorhombic. Its energy is -42.331 eV/f.u. Its calculated density is 13.2 Mg/m³. The value obtained for the formation energy from the elements is 0.084 eV per atom.

```
data_CuPd5Au4
_chemical_formula_sum 'Cu2 Pd10 Au8'
_cell_length_a 8.147
_cell_length_b 9.031
_cell_length_c 4.731
_cell_angle_alpha 90.00
_cell_angle_beta 90.00
_cell_angle_gamma 90.00
_symmetry_space_group_name_H-M 'P m m n'
_symmetry_Int_Tables_number 59
loop_
_symmetry_equiv_pos_as_xyz
'x,y,z'
'-x,-y,-z'
'-x+1/2,-y+1/2,z'
'x+1/2,y+1/2,-z'
'x+1/2,-y,-z'
'-x+1/2,y,z'
'-x,y+1/2,-z'
'x,-y+1/2,z'
loop_
_atom_site_label
_atom_site_fract_x
_atom_site_fract_y
_atom_site_fract_z
_atom_site_occupancy
Cu1 0.250 0.250 0.238 1
Pd1 0.084 0.501 0.241 1
Pd2 0.250 0.750 0.060 1
Au1 0.067 0.750 0.572 1
Au2 0.250 0.083 0.745 1
```


Entry 5:
An optimized crystal structure of LiInCu2. Source: the Alexandria database, functional GGA-PBE.

The crystal system is trigonal. Its energy is -12.233 eV/f.u. Its calculated density is 6.2 Mg/m³. The value obtained for the formation energy from the elements is 0.153 eV per atom.

```
data_LiInCu2
_chemical_formula_sum 'Li3 In3 Cu6'
_cell_length_a 3.0551
_cell_length_b 3.0551
_cell_length_c 24.7233
_cell_angle_alpha 90.00
_cell_angle_beta 90.00
_cell_angle_gamma 120.00
_symmetry_space_group_name_H-M 'R 3 m'
_symmetry_Int_Tables_number 160
_symmetry_space_group_name_Hall 'R 3 -2"'
loop_
_atom_site_label
_atom_site_fract_x
_atom_site_fract_y
_atom_site_fract_z
_atom_site_occupancy
Li1 0.0000 0.0000 0.0000 1
In1 0.0000 0.0000 0.7610 1
Cu1 0.0000 0.0000 0.2514 1
Cu2 0.0000 0.0000 0.5144 1
```


Entry 6:
An optimized crystal structure of Li4Ti9O20. Source: the Alexandria database, functional GGA-PBE.

The value obtained for the energy relative to the elements, uncorrected is -2862.0 meV per atom. The crystal system is tetragonal. Its energy is -272.319 eV/f.u. Its calculated density is 3.4 Mg/m³.

```
data_Li4Ti9O20
_chemical_formula_sum 'Li16 Ti36 O80'
_cell_length_a 13.464
_cell_length_b 13.464
_cell_length_c 8.453
_cell_angle_alpha 90.00
_cell_angle_beta 90.00
_cell_angle_gamma 90.00
_symmetry_space_group_name_H-M 'I 41/a'
_symmetry_Int_Tables_number 88
loop_
_symmetry_equiv_pos_as_xyz
'x,y,z'
'-x,-y,-z'
'-y+3/4,x+1/4,z+1/4'
'y+3/4,-x+1/4,-z+1/4'
'-x+1/2,-y,z+1/2'
'x+1/2,y,-z+1/2'
'y+3/4,-x+3/4,z+3/4'
'-y+3/4,x+3/4,-z+3/4'
'x+1/2,y+1/2,z+1/2'
'-x+1/2,-y+1/2,-z+1/2'
'-y+1/4,x+3/4,z+3/4'
'y+1/4,-x+3/4,-z+3/4'
'-x,-y+1/2,z'
'x,y+1/2,-z'
'y+1/4,-x+1/4,z+1/4'
'-y+1/4,x+1/4,-z+1/4'
loop_
_atom_site_label
_atom_site_fract_x
_atom_site_fract_y
_atom_site_fract_z
_atom_site_occupancy
Li1 0.124 0.455 0.198 1
Ti1 0.000 0.250 0.125 1
Ti2 0.064 0.154 0.767 1
Ti3 0.137 0.446 0.768 1
O1 0.004 0.471 0.783 1
O2 0.052 0.162 0.519 1
O3 0.073 0.173 0.989 1
O4 0.153 0.435 0.525 1
O5 0.174 0.437 0.980 1
```


Entry 7:
An optimized crystal structure of NdEuCoAg. Source: the Alexandria database, functional GGA-PBE.

The crystal system is cubic. Its energy is -24.979 eV/f.u. Its calculated density is 8.1 Mg/m³. The value obtained for the formation energy from the elements is 0.005 eV per atom.

```
data_NdEuCoAg
_chemical_formula_sum 'Nd4 Eu4 Co4 Ag4'
_cell_length_a 7.243
_cell_length_b 7.243
_cell_length_c 7.243
_cell_angle_alpha 90.00
_cell_angle_beta 90.00
_cell_angle_gamma 90.00
_symmetry_space_group_name_H-M 'F -4 3 m'
_symmetry_Int_Tables_number 216
_symmetry_space_group_name_Hall 'F -4 2 3'
loop_
_atom_site_label
_atom_site_fract_x
_atom_site_fract_y
_atom_site_fract_z
_atom_site_occupancy
Nd1 0.000 0.000 0.000 1
Eu1 0.000 0.000 0.500 1
Co1 0.250 0.250 0.750 1
Ag1 0.250 0.250 0.250 1
```


Entry 8:
An optimized crystal structure of HoTm5Mg6. Source: the Alexandria database, functional GGA-PBE.

The crystal system is monoclinic. Its energy is -37.240 eV/f.u. Its calculated density is 6.0 Mg/m³. The value obtained for the formation energy from the elements is -0.061 eV per atom.

```
data_HoTm5Mg6
_chemical_formula_sum 'Ho1 Tm5 Mg6'
_cell_length_a 5.331
_cell_length_b 7.462
_cell_length_c 8.429
_cell_angle_alpha 90.00
_cell_angle_beta 108.37
_cell_angle_gamma 90.00
_symmetry_space_group_name_H-M 'P 1 2/m 1'
_symmetry_Int_Tables_number 10
loop_
_symmetry_equiv_pos_as_xyz
'x,y,z'
'-x,-y,-z'
'-x,y,-z'
'x,-y,z'
loop_
_atom_site_label
_atom_site_fract_x
_atom_site_fract_y
_atom_site_fract_z
_atom_site_occupancy
Ho1 0.000 0.000 0.000 1
Tm1 0.000 0.500 0.000 1
Tm2 0.332 0.000 0.666 1
Tm3 0.333 0.500 0.668 1
Mg1 0.168 0.251 0.334 1
Mg2 0.500 0.251 0.000 1
```


Entry 9:
An optimized crystal structure of Na7Sr2Ca2. Source: the Alexandria database, functional GGA-PBE.

The crystal system is monoclinic. Its energy is -15.599 eV/f.u. Its calculated density is 1.5 Mg/m³. The value obtained for the formation energy from the elements is 0.091 eV per atom.

```
data_Na7Sr2Ca2
_chemical_formula_sum 'Na14 Sr4 Ca4'
_cell_length_a 6.974
_cell_length_b 12.684
_cell_length_c 10.561
_cell_angle_alpha 90.00
_cell_angle_beta 93.17
_cell_angle_gamma 90.00
_symmetry_space_group_name_H-M 'C 1 2/m 1'
_symmetry_Int_Tables_number 12
loop_
_symmetry_equiv_pos_as_xyz
'x,y,z'
'-x,-y,-z'
'-x,y,-z'
'x,-y,z'
'x+1/2,y+1/2,z'
'-x+1/2,-y+1/2,-z'
'-x+1/2,y+1/2,-z'
'x+1/2,-y+1/2,z'
loop_
_atom_site_label
_atom_site_fract_x
_atom_site_fract_y
_atom_site_fract_z
_atom_site_occupancy
Na1 0.000 0.000 0.000 1
Na2 0.018 0.000 0.345 1
Na3 0.194 0.229 0.162 1
Sr1 0.000 0.335 0.500 1
Ca1 0.027 0.500 0.176 1
```


Entry 10:
An optimized crystal structure of RbTcHCl2. Source: the Alexandria database, functional GGA-PBE.

The crystal system is tetragonal. Its energy is -20.633 eV/f.u. Its calculated density is 4.2 Mg/m³.

```
data_RbTcHCl2
_chemical_formula_sum 'Rb1 Tc1 H1 Cl2'
_cell_length_a 5.166
_cell_length_b 5.166
_cell_length_c 3.822
_cell_angle_alpha 90.00
_cell_angle_beta 90.00
_cell_angle_gamma 90.00
_symmetry_space_group_name_H-M 'P 4/m m m'
_symmetry_Int_Tables_number 123
_symmetry_space_group_name_Hall '-P 4 2'
loop_
_atom_site_label
_atom_site_fract_x
_atom_site_fract_y
_atom_site_fract_z
_atom_site_occupancy
Rb1 0.000 0.000 0.000 1
Tc1 0.500 0.500 0.500 1
H1 0.500 0.500 0.000 1
Cl1 0.000 0.500 0.500 1
```


Entry 11:
An optimized crystal structure of Tb8PmEr3. Source: the Alexandria database, functional GGA-PBE.

The crystal system is triclinic. Its energy is -55.322 eV/f.u. Its calculated density is 8.2 Mg/m³. The value obtained for the formation energy from the elements is 0.013 eV per atom.

```
data_Tb8PmEr3
_chemical_formula_sum 'Tb8 Pm1 Er3'
_cell_length_a 6.280
_cell_length_b 8.445
_cell_length_c 8.459
_cell_angle_alpha 80.03
_cell_angle_beta 68.22
_cell_angle_gamma 68.26
_symmetry_space_group_name_H-M 'P 1'
_symmetry_Int_Tables_number 1
loop_
_symmetry_equiv_pos_as_xyz
'x,y,z'
loop_
_atom_site_label
_atom_site_fract_x
_atom_site_fract_y
_atom_site_fract_z
_atom_site_occupancy
Tb1 0.000 0.000 0.000 1
Tb2 0.000 0.331 0.670 1
Tb3 0.084 0.246 0.251 1
Tb4 0.084 0.580 0.917 1
Tb5 0.501 0.498 0.502 1
Tb6 0.501 0.833 0.168 1
Tb7 0.581 0.082 0.420 1
Tb8 0.581 0.749 0.754 1
Pm1 0.001 0.665 0.335 1
Er1 0.082 0.915 0.586 1
Er2 0.502 0.165 0.835 1
Er3 0.584 0.413 0.084 1
```


Entry 12:
An optimized crystal structure of CeAl2Au2. Source: the Alexandria database, functional GGA-PBE.

The value obtained for the energy above the most stable polymorph in this dataset is 0.015 eV/atom. The crystal system is tetragonal. Its energy is -23.319 eV/f.u. Its calculated density is 9.4 Mg/m³. The value obtained for the formation energy from the elements is -0.669 eV per atom.

```
data_CeAl2Au2
_chemical_formula_sum 'Ce2 Al4 Au4'
_cell_length_a 4.290
_cell_length_b 4.290
_cell_length_c 11.277
_cell_angle_alpha 90.00
_cell_angle_beta 90.00
_cell_angle_gamma 90.00
_symmetry_space_group_name_H-M 'I 4/m m m'
_symmetry_Int_Tables_number 139
_symmetry_space_group_name_Hall '-I 4 2'
loop_
_atom_site_label
_atom_site_fract_x
_atom_site_fract_y
_atom_site_fract_z
_atom_site_occupancy
Ce1 0.000 0.000 0.000 1
Al1 0.000 0.500 0.250 1
Au1 0.000 0.000 0.378 1
```


Q: Among the records above, which one has the lowest energy?
A: Li4Ti9O20


Q: Among the records above, which one has the lowest calculated density?
A: Na7Sr2Ca2